(1)
Computed, not measured: a geometry-optimized SrBeF structure at the PBE level of DFT.

## Properties
The calculation puts the uncorrected formation energy at -4.5 eV per formula unit. The crystal system is monoclinic. The value obtained for the total magnetic moment is 0.0 μB/f.u.

Cell lengths 4.6959, 4.3573, 6.4169 Å; angles 90.00, 110.91, 90.00 degrees
With the nearest neighbours (Å) after each atom.
Sites, in units of the cell vectors:
Sr 0.0000 0.0000 0.0000  2 F 2.53-2.65
Sr 0.3233 0.5000 0.5441  4 F 2.50-2.64
Be 0.5456 0.5000 0.1380  2 Be 2.52
Be 0.6896 0.0000 0.3479  2 F 1.61-1.64
F 0.0546 0.0000 0.4257  1 Be 1.61
F 0.6569 0.0000 0.5935  1 Be 1.64

---

(2)
Computed, not measured: a geometry-optimized TbTaN2 structure at the PBE level of DFT.

## Properties
The calculation puts the uncorrected formation energy at -3.8 eV per formula unit. The crystal system is orthorhombic. The value obtained for the total magnetic moment is 0.0 μB/f.u.

Cell lengths 6.1454, 3.0596, 11.9263 Å; angles 90.00, 90.00, 90.00 degrees
With the nearest neighbours (Å) after each atom.
Sites, in units of the cell vectors:
Tb 0.0004 0.2500 0.1352  5 N 2.33-2.55
Tb 0.9996 0.7500 0.8648  5 N 2.33-2.55
Tb 0.5004 0.2500 0.3648  5 N 2.33-2.55
Tb 0.4996 0.7500 0.6352  5 N 2.33-2.55
Ta 0.0127 0.2500 0.3996  5 N 2.10-2.24
Ta 0.4873 0.7500 0.8996  5 N 2.10-2.24
Ta 0.5127 0.2500 0.1004  5 N 2.10-2.24
Ta 0.9873 0.7500 0.6004  5 N 2.10-2.24
N 0.0332 0.2500 0.7184  2 Ta 2.10, 2 Tb 2.33
N 0.2399 0.7500 0.4709  3 Ta 2.19-2.24
N 0.2601 0.2500 0.9709  3 Ta 2.19-2.24
N 0.4668 0.7500 0.2184  2 Ta 2.10, 2 Tb 2.33
N 0.5332 0.2500 0.7816  2 Ta 2.10, 2 Tb 2.33
N 0.7399 0.7500 0.0291  3 Ta 2.19-2.24
N 0.7601 0.2500 0.5291  3 Ta 2.19-2.24
N 0.9668 0.7500 0.2816  2 Ta 2.10, 2 Tb 2.33